Entry from the Alexandria database: crystalline LiNd2FeO6 at its relaxed geometry (PBE+U).

CIF file:
```
data_LiNd2FeO6
_chemical_formula_sum 'Li1 Nd2 Fe1 O6'
_cell_length_a 5.3735
_cell_length_b 5.3735
_cell_length_c 5.3735
_cell_angle_alpha 60.00
_cell_angle_beta 60.00
_cell_angle_gamma 60.00
_symmetry_space_group_name_H-M 'P 1'
_symmetry_Int_Tables_number 1
loop_
_symmetry_equiv_pos_as_xyz
'x,y,z'
loop_
_atom_site_label
_atom_site_type_symbol
_atom_site_fract_x
_atom_site_fract_y
_atom_site_fract_z
Li1 Li 0.0000 0.0000 0.0000
Nd1 Nd 0.2500 0.2500 0.2500
Nd2 Nd 0.7500 0.7500 0.7500
Fe1 Fe 0.5000 0.5000 0.5000
O1 O 0.2569 0.2569 0.7431
O2 O 0.2569 0.7431 0.2569
O3 O 0.2569 0.7431 0.7431
O4 O 0.7431 0.2569 0.2569
O5 O 0.7431 0.2569 0.7431
O6 O 0.7431 0.7431 0.2569
```

**Calculated total energy**: -6.9642 eV/atom
**Crystal system**: cubic